Computed, not measured: a relaxed NaCuNiO2 crystal at the PBE with a Hubbard U level of DFT.

It has space group P4/mmm (No. 123), with a = 4.102 Å, b = 4.102 Å, c = 4.272 Å, α = 90.00°, β = 90.00° and γ = 90.00°. The inequivalent atoms are Na at (0.000, 0.000, 0.000), Cu at (0.500, 0.500, 0.500), Ni at (0.000, 0.000, 0.500) and O at (0.000, 0.500, 0.000).

As for the energy above the most stable polymorph in this dataset: 1.7853 eV per atom.